Record 1
# PaInTc, relaxed, DFT PBE
data_PaInTc
_chemical_formula_sum 'Pa2 In2 Tc2'
_cell_length_a 5.133
_cell_length_b 4.977
_cell_length_c 5.551
_cell_angle_alpha 90.00
_cell_angle_beta 101.45
_cell_angle_gamma 90.00
_symmetry_space_group_name_H-M 'P 1 21/m 1'
_symmetry_Int_Tables_number 11
_symmetry_space_group_name_Hall '-P 2yb'
loop_
_atom_site_label
_atom_site_type_symbol
_atom_site_fract_x
_atom_site_fract_y
_atom_site_fract_z
Pa1 Pa 0.099 0.250 0.314
In1 In 0.493 0.750 0.142
Tc1 Tc 0.343 0.750 0.608
# Fermi-level density of states   1.72 states/eV/f.u.
# ΔE_f   -0.175 eV per atom
# Size of the total moment   0.00 μB/f.u.
# E above lowest polymorph   96 meV per atom

Record 2
# SrCdTe2, relaxed, DFT PBE
data_SrCdTe2
_chemical_formula_sum 'Sr2 Cd2 Te4'
_cell_length_a 14.747
_cell_length_b 4.399
_cell_length_c 4.672
_cell_angle_alpha 90.00
_cell_angle_beta 93.47
_cell_angle_gamma 90.00
_symmetry_space_group_name_H-M 'C 1 m 1'
_symmetry_Int_Tables_number 8
_symmetry_space_group_name_Hall 'C -2y'
loop_
_atom_site_label
_atom_site_type_symbol
_atom_site_fract_x
_atom_site_fract_y
_atom_site_fract_z
Sr1 Sr 0.000 0.000 0.000
Cd1 Cd 0.260 0.000 0.246
Te1 Te 0.179 0.500 0.949
Te2 Te 0.435 0.000 0.487
# E_form (uncorrected)   -0.942 eV per atom
# Size of the total moment   0.00 μB/f.u.

Record 3
# Na8B11C5, relaxed, DFT PBE
data_Na8B11C5
_chemical_formula_sum 'Na8 B11 C5'
_cell_length_a 4.988
_cell_length_b 5.819
_cell_length_c 9.054
_cell_angle_alpha 80.73
_cell_angle_beta 74.03
_cell_angle_gamma 89.98
_symmetry_space_group_name_H-M 'P 1'
_symmetry_Int_Tables_number 1
_symmetry_space_group_name_Hall 'P 1'
loop_
_atom_site_label
_atom_site_type_symbol
_atom_site_fract_x
_atom_site_fract_y
_atom_site_fract_z
Na1 Na 0.000 0.000 0.000
Na2 Na 0.000 0.499 0.001
Na3 Na 0.247 0.123 0.505
Na4 Na 0.248 0.623 0.505
Na5 Na 0.498 0.248 0.003
Na6 Na 0.501 0.749 0.001
Na7 Na 0.749 0.374 0.502
Na8 Na 0.749 0.874 0.505
B1 B 0.038 0.677 0.254
B2 B 0.066 0.201 0.253
B3 B 0.194 0.938 0.253
B4 B 0.285 0.811 0.754
B5 B 0.468 0.549 0.753
B6 B 0.469 0.073 0.752
B7 B 0.538 0.445 0.253
B8 B 0.567 0.921 0.252
B9 B 0.694 0.185 0.252
B10 B 0.944 0.811 0.753
B11 B 0.962 0.311 0.752
C1 C 0.200 0.443 0.254
C2 C 0.292 0.311 0.752
C3 C 0.701 0.680 0.253
C4 C 0.790 0.066 0.752
C5 C 0.790 0.556 0.753
# Fermi-level density of states   2.34 states/eV/f.u.
# ΔE_f   0.141 eV per atom
# Size of the total moment   0.00 μB/f.u.
# E above lowest polymorph   40 meV per atom

Record 4
# GaBSeN2, relaxed, DFT PBE
data_GaBSeN2
_chemical_formula_sum 'Ga1 B1 Se1 N2'
_cell_length_a 3.581
_cell_length_b 3.581
_cell_length_c 7.419
_cell_angle_alpha 90.00
_cell_angle_beta 90.00
_cell_angle_gamma 90.00
_symmetry_space_group_name_H-M 'P 4/m m m'
_symmetry_Int_Tables_number 123
_symmetry_space_group_name_Hall '-P 4 2'
loop_
_atom_site_label
_atom_site_type_symbol
_atom_site_fract_x
_atom_site_fract_y
_atom_site_fract_z
Ga1 Ga 0.000 0.000 0.000
B1 B 0.500 0.500 0.500
Se1 Se 0.000 0.000 0.500
N1 N 0.000 0.500 0.000
# E_form (uncorrected)   1.859 eV per atom
# Fermi-level density of states   2.54 states/eV/f.u.
# Size of the total moment   0.59 μB/f.u.
# E above lowest polymorph   808 meV per atom